1.
VASP calculation (GGA-PBE) on Pr9Tm4Tl11 after structural relaxation.

Values from the calculation:
Space-group type: Cmmm (65)
V, Å³/cell: 710
E_form, eV/atom: -0.294
Magnetic moment, μB per formula unit: 1.03
E_tot, eV/cell: -94.0
Density, g/cm3: 9.81

Lattice parameters (Å, degrees): 3.5523 14.3211 14.3211 103.13 90.00 90.00
Each line ends with the local moment (μB).
Sites, in units of the cell vectors:
1 Pr 0.5000 0.6298 0.1403  0.10
2 Pr 0.5000 0.3702 0.8597  0.10
3 Pr 0.5000 0.1403 0.6298  0.10
4 Pr 0.5000 0.8597 0.3702  0.10
5 Pr 0.5000 0.7895 0.9566  -0.07
6 Pr 0.5000 0.2105 0.0434  -0.07
7 Pr 0.5000 0.9566 0.7895  -0.07
8 Pr 0.5000 0.0434 0.2105  -0.07
9 Pr 0.5000 0.5000 0.5000  0.33
10 Tm 0.5000 0.5583 0.7386  0.08
11 Tm 0.5000 0.4417 0.2614  0.08
12 Tm 0.5000 0.7386 0.5583  0.08
13 Tm 0.5000 0.2614 0.4417  0.08
14 Tl 0.0000 0.5779 0.9300  0.00
15 Tl 0.0000 0.4221 0.0700  0.00
16 Tl 0.0000 0.9300 0.5779  0.00
17 Tl 0.0000 0.0700 0.4221  0.00
18 Tl 0.0000 0.6336 0.3664  0.00
19 Tl 0.0000 0.3664 0.6336  0.00
20 Tl 0.0000 0.8366 0.1634  0.00
21 Tl 0.0000 0.1634 0.8366  0.00
22 Tl 0.0000 0.0000 0.0000  0.00
23 Tl 0.0000 0.7461 0.7461  0.00
24 Tl 0.0000 0.2539 0.2539  0.00

---

2.
VASP calculation (GGA-PBE) on DyEr2Si2 after structural relaxation.

Values from the calculation:
Space-group type: P4/mbm (127)
V, Å³/cell: 231
Magnetic moment, μB per formula unit: 0.00
E_tot, eV/cell: -56.0
Energy relative to the elements, uncorrected, eV/atom: -0.690
Density, g/cm3: 7.94

Lattice parameters (Å, degrees): 4.1687 7.4516 7.4516 90.00 90.00 90.00
Sites, in units of the cell vectors:
1 Dy 0.5000 0.5000 0.0000
2 Dy 0.5000 0.0000 0.5000
3 Er 0.0000 0.6758 0.3242
4 Er 0.0000 0.8242 0.8242
5 Er 0.0000 0.1758 0.1758
6 Er 0.0000 0.3242 0.6758
7 Si 0.5000 0.3833 0.3833
8 Si 0.5000 0.8833 0.1167
9 Si 0.5000 0.1167 0.8833
10 Si 0.5000 0.6167 0.6167

---

3.
VASP calculation (GGA-PBE) on BaCd4Hg3 after structural relaxation.

Values from the calculation:
Space-group type: P4/mmm (123)
V, Å³/cell: 225
E_form, eV/atom: -0.210
Magnetic moment, μB per formula unit: 0.00
E_tot, eV/cell: -8.2
Density, g/cm3: 8.78

Lattice parameters (Å, degrees): 4.7958 4.7958 9.7758 90.00 90.00 90.00
Sites, in units of the cell vectors:
1 Hg 0.0000 0.0000 0.0000
2 Hg 0.5000 0.5000 0.3510
3 Hg 0.5000 0.5000 0.6490
4 Ba 0.0000 0.0000 0.5000
5 Cd 0.5000 0.0000 0.1738
6 Cd 0.0000 0.5000 0.1738
7 Cd 0.5000 0.0000 0.8262
8 Cd 0.0000 0.5000 0.8262

---

4.
VASP calculation (GGA-PBE) on Mn2SbAs after structural relaxation.

Values from the calculation:
Space-group type: I-4m2 (119)
V, Å³/cell: 71
Magnetic moment, μB per formula unit: 7.00
E_tot, eV/cell: -26.2
Energy relative to the elements, uncorrected, eV/atom: 0.225
Density, g/cm3: 7.20

Lattice parameters (Å, degrees): 5.3309 5.3309 5.3309 136.57 136.57 63.10
Each line ends with the local moment (μB).
Sites, in units of the cell vectors:
1 As 0.7500 0.2500 0.5000  -0.06
2 Mn 0.0000 0.0000 0.0000  3.41
3 Mn 0.2500 0.7500 0.5000  3.50
4 Sb 0.5000 0.5000 0.0000  -0.07

---

5.
VASP calculation (GGA-PBE) on KSrLa after structural relaxation.

Values from the calculation:
Space-group type: Imm2 (44)
V, Å³/cell: 151
E_form, eV/atom: 0.371
Magnetic moment, μB per formula unit: 0.00
E_tot, eV/cell: -6.6
Density, g/cm3: 2.92

Lattice parameters (Å, degrees): 7.2486 7.2486 7.2486 149.40 128.14 61.42
Sites, in units of the cell vectors:
1 K 0.9974 0.9974 0.0000
2 La 0.3284 0.3284 0.0000
3 Sr 0.6743 0.6743 0.0000

---

6.
VASP calculation (GGA-PBE) on NdDy2HgC after structural relaxation.

Values from the calculation:
Space-group type: P4/mmm (123)
V, Å³/cell: 123
E_form, eV/atom: -0.308
Magnetic moment, μB per formula unit: 0.00
E_tot, eV/cell: -25.0
Density, g/cm3: 9.20

Lattice parameters (Å, degrees): 5.1480 4.8895 4.8895 90.00 90.00 90.00
Sites, in units of the cell vectors:
1 Nd 0.5000 0.0000 0.0000
2 Dy 0.0000 0.0000 0.5000
3 Dy 0.0000 0.5000 0.0000
4 Hg 0.5000 0.5000 0.5000
5 C 0.0000 0.0000 0.0000

---

7.
VASP calculation (GGA-PBE) on KTe2W after structural relaxation.

Values from the calculation:
Space-group type: P4mm (99)
V, Å³/cell: 117
Magnetic moment, μB per formula unit: 0.77
E_tot, eV/cell: -18.5
Energy relative to the elements, uncorrected, eV/atom: 0.461
Density, g/cm3: 6.81

Lattice parameters (Å, degrees): 3.3143 3.3143 10.6163 90.00 90.00 89.99
Each line ends with the local moment (μB).
Sites, in units of the cell vectors:
1 K 0.5000 0.5000 0.7376  0.01
2 Te 0.0000 0.0000 0.9905  0.00
3 Te 0.5000 0.5000 0.3190  -0.02
4 W 0.0000 0.0000 0.4529  0.54

---

8.
VASP calculation (GGA-PBE) on RbHg2PbAu after structural relaxation.

Values from the calculation:
Space-group type: P4/mmm (123)
V, Å³/cell: 204
E_form, eV/atom: -0.025
Magnetic moment, μB per formula unit: 0.00
E_tot, eV/cell: -8.7
Density, g/cm3: 7.23

Lattice parameters (Å, degrees): 6.0236 6.0236 5.6359 90.00 90.00 90.00
Sites, in units of the cell vectors:
1 Pb 0.0000 0.0000 0.0000
2 Au 0.0000 0.0000 0.5000
3 Hg 0.0000 0.5000 0.0000
4 Hg 0.5000 0.0000 0.0000
5 Rb 0.5000 0.5000 0.5000

---

Question: The highest density belongs to which entry?
Answer: Pr9Tm4Tl11